# 1
The following is a DFT calculation (PBE-GGA) of a geometry-optimized Ti2GaCl8 structure.

Calculated values
E ... -0.163 hartree per atom

a b c (Å): 8.159 8.159 6.936
angles (deg): 98.55 98.55 69.63
Sites, in units of the cell vectors:
Ti: 0.203 0.203 0.168
Ti: 0.797 0.797 0.832
Ga: 0.000 0.000 0.500
Cl: 0.062 0.690 0.722
Cl: 0.180 0.180 0.839
Cl: 0.310 0.938 0.278
Cl: 0.367 0.367 0.293
Cl: 0.633 0.633 0.707
Cl: 0.690 0.062 0.722
Cl: 0.820 0.820 0.161
Cl: 0.938 0.310 0.278

***

# 2
The following is a DFT calculation (PBE-GGA) of a geometry-optimized Al2RePt structure.

Calculated values
Relative energy among the computed polymorphs ... 0.0509 eV/atom

a b c (Å): 4.317 4.317 4.317
angles (deg): 60.00 60.00 60.00
Sites, in units of the cell vectors:
Al: 0.250 0.250 0.250
Al: 0.750 0.750 0.750
Re: 0.000 0.000 0.000
Pt: 0.500 0.500 0.500

***

# 3
The following is a DFT calculation (PBE-GGA) of a geometry-optimized K2Zn2Ag structure.

Calculated values
Relative energy among the computed polymorphs ... 0.1047 eV/atom

a b c (Å): 6.060 6.060 6.060
angles (deg): 113.40 113.40 101.87
Sites, in units of the cell vectors:
K: 0.250 0.750 0.500
K: 0.750 0.250 0.500
Zn: 0.162 0.162 0.000
Zn: 0.838 0.838 0.000
Ag: 0.500 0.500 0.000

***

# 4
The following is a DFT calculation (PBE-GGA) of a geometry-optimized Y2Er3In structure.

Calculated values
Relative energy among the computed polymorphs ... 0.4444 eV/atom

a b c (Å): 7.780 7.780 7.780
angles (deg): 155.00 101.32 84.11
Sites, in units of the cell vectors:
Y: 0.173 0.000 0.173
Y: 0.827 0.000 0.827
Er: 0.090 0.751 0.339
Er: 0.412 0.751 0.661
Er: 0.719 0.719 0.000
In: 0.484 0.984 0.500

***

Number 1: magnetic moment 0.09 μB/atom. Number 2: magnetic moment 0.00 μB/atom. Number 3: magnetic moment 0.00 μB/atom. Number 4: magnetic moment 0.15 μB/atom.